# ZnFe2Ni6

A geometry-optimized ZnFe2Ni6 structure (PBE-GGA, Alexandria via LeMat-Bulk).

Summary:
* E above lowest polymorph: 28.5 meV per atom

Cell lengths 4.132, 6.904, 7.448 Å; angles 90.00, 90.00, 90.00 degrees
Space group Immm (No. 71)
One atom of each set of equivalent atoms:
Zn (0.000, 0.000, 0.000) (multiplicity 2)
Fe (0.000, 0.000, 0.338) (multiplicity 4)
Ni (0.000, 0.309, 0.500) (multiplicity 4)
Ni (0.000, 0.315, 0.167) (multiplicity 8)


# ZnFe2Ni

A geometry-optimized ZnFe2Ni structure (PBE-GGA, Alexandria via LeMat-Bulk).

Cell lengths 2.553, 4.144, 4.523 Å; angles 90.00, 91.37, 90.00 degrees
Space group Pm (No. 6)
One atom of each set of equivalent atoms:
Zn (0.000, 0.000, 0.000) (multiplicity 1)
Fe (0.485, 0.000, 0.500) (multiplicity 1)
Fe (0.527, 0.500, 0.193) (multiplicity 1)
Ni (0.018, 0.500, 0.685) (multiplicity 1)


# ZnFe2Ni2

A geometry-optimized ZnFe2Ni2 structure (PBE-GGA, Alexandria via LeMat-Bulk).

Summary:
* E above lowest polymorph: 54.8 meV per atom

Cell lengths 7.009, 7.009, 2.540 Å; angles 90.00, 90.00, 90.00 degrees
Space group P4/mbm (No. 127)
One atom of each set of equivalent atoms:
Zn (0.000, 0.000, 0.000) (multiplicity 2)
Fe (0.121, 0.379, 0.000) (multiplicity 4)
Ni (0.173, 0.673, 0.500) (multiplicity 4)


# ZnFe2Ni

A geometry-optimized ZnFe2Ni structure (PBE-GGA, Alexandria via LeMat-Bulk).

Cell lengths 9.210, 2.821, 4.045 Å; angles 90.00, 114.76, 90.00 degrees
Space group C2/m (No. 12)
One atom of each set of equivalent atoms:
Zn (0.000, 0.000, 0.000) (multiplicity 2)
Fe (0.245, 0.000, 0.744) (multiplicity 4)
Ni (0.000, 0.500, 0.500) (multiplicity 2)


# ZnFeNi3

A geometry-optimized ZnFeNi3 structure (PBE-GGA, Alexandria via LeMat-Bulk).

Summary:
* E above lowest polymorph: 1177.3 meV per atom

Cell lengths 4.275, 4.275, 4.275 Å; angles 90.00, 90.00, 90.00 degrees
Space group Pm-3m (No. 221)
One atom of each set of equivalent atoms:
Zn (0.000, 0.000, 0.000) (multiplicity 1)
Fe (0.500, 0.500, 0.500) (multiplicity 1)
Ni (0.000, 0.000, 0.500) (multiplicity 3)


# Zn2Fe2Ni15

A geometry-optimized Zn2Fe2Ni15 structure (PBE-GGA, Alexandria via LeMat-Bulk).

Cell lengths 8.0975, 8.0975, 12.1880 Å; angles 90.00, 90.00, 120.00 degrees
Space group R-3m (No. 166, hexagonal axes)
One atom of each set of equivalent atoms:
Zn (0.0000, 0.0000, 0.1045) (multiplicity 6)
Fe (0.0000, 0.0000, 0.3916) (multiplicity 6)
Ni (0.0000, 0.3299, 0.0000) (multiplicity 18)
Ni (0.0000, 0.5000, 0.5000) (multiplicity 9)
Ni (0.0065, 0.5033, 0.1644) (multiplicity 18)


# ZnFe2Ni

A geometry-optimized ZnFe2Ni structure (PBE-GGA, Alexandria via LeMat-Bulk).

Cell lengths 3.575, 3.575, 3.764 Å; angles 90.00, 90.00, 90.00 degrees
Space group P4/mmm (No. 123)
One atom of each set of equivalent atoms:
Zn (0.000, 0.000, 0.000) (multiplicity 1)
Fe (0.000, 0.500, 0.500) (multiplicity 2)
Ni (0.500, 0.500, 0.000) (multiplicity 1)


# Zn2Fe3Ni7

A geometry-optimized Zn2Fe3Ni7 structure (PBE-GGA, Alexandria via LeMat-Bulk).

Cell lengths 3.795, 22.439, 3.538 Å; angles 90.00, 90.00, 90.00 degrees
Space group Cmmm (No. 65)
One atom of each set of equivalent atoms:
Zn (0.000, 0.155, 0.000) (multiplicity 4)
Fe (0.000, 0.347, 0.500) (multiplicity 4)
Fe (0.000, 0.500, 0.500) (multiplicity 2)
Ni (0.000, 0.000, 0.000) (multiplicity 2)
Ni (0.000, 0.077, 0.500) (multiplicity 4)
Ni (0.000, 0.277, 0.000) (multiplicity 4)
Ni (0.000, 0.425, 0.000) (multiplicity 4)


# ZnFeNi

A geometry-optimized ZnFeNi structure (PBE-GGA, Alexandria via LeMat-Bulk).

Summary:
* E above lowest polymorph: 38.6 meV per atom

Cell lengths 2.577, 2.577, 22.893 Å; angles 90.00, 90.00, 90.00 degrees
Space group I4/mmm (No. 139)
One atom of each set of equivalent atoms:
Zn (0.000, 0.000, 0.057) (multiplicity 4)
Fe (0.000, 0.000, 0.210) (multiplicity 4)
Ni (0.000, 0.000, 0.365) (multiplicity 4)


# ZnFe3Ni12

A geometry-optimized ZnFe3Ni12 structure (PBE-GGA, Alexandria via LeMat-Bulk).

Cell lengths 3.555, 3.555, 14.174 Å; angles 90.00, 90.00, 90.00 degrees
Space group P4/mmm (No. 123)
One atom of each set of equivalent atoms:
Zn (0.000, 0.000, 0.000) (multiplicity 1)
Fe (0.000, 0.000, 0.249) (multiplicity 2)
Fe (0.000, 0.000, 0.500) (multiplicity 1)
Ni (0.000, 0.500, 0.128) (multiplicity 4)
Ni (0.000, 0.500, 0.376) (multiplicity 4)
Ni (0.500, 0.500, 0.000) (multiplicity 1)
Ni (0.500, 0.500, 0.252) (multiplicity 2)
Ni (0.500, 0.500, 0.500) (multiplicity 1)


# Zn2FeNi2

A geometry-optimized Zn2FeNi2 structure (PBE-GGA, Alexandria via LeMat-Bulk).

Summary:
* E above lowest polymorph: 0.0 meV per atom

Cell lengths 6.916, 6.916, 2.652 Å; angles 90.00, 90.00, 90.00 degrees
Space group P4/mbm (No. 127)
One atom of each set of equivalent atoms:
Zn (0.168, 0.332, 0.000) (multiplicity 4)
Fe (0.000, 0.000, 0.500) (multiplicity 2)
Ni (0.130, 0.630, 0.500) (multiplicity 4)


# ZnFe3Ni

A geometry-optimized ZnFe3Ni structure (PBE-GGA, Alexandria via LeMat-Bulk).

Summary:
* E above lowest polymorph: 0.0 meV per atom

Cell lengths 4.331, 4.331, 4.331 Å; angles 90.00, 90.00, 90.00 degrees
Space group Pm-3m (No. 221)
One atom of each set of equivalent atoms:
Zn (0.000, 0.000, 0.000) (multiplicity 1)
Fe (0.000, 0.500, 0.500) (multiplicity 3)
Ni (0.500, 0.500, 0.500) (multiplicity 1)


Number 1: formation enthalpy at 0 K 0.076 eV per atom, Fermi-level density of states 17.71 states/eV/cell, final energy -104.40 eV per cell. Number 2: formation enthalpy at 0 K -0.004 eV per atom, Fermi-level density of states 3.00 states/eV/cell, final energy -24.00 eV per cell. Number 3: formation enthalpy at 0 K 0.107 eV per atom, Fermi-level density of states 9.59 states/eV/cell, final energy -58.45 eV per cell. Number 4: formation enthalpy at 0 K -0.005 eV per atom, Fermi-level density of states 6.16 states/eV/cell, final energy -48.00 eV per cell. Number 5: formation enthalpy at 0 K 1.079 eV per atom, Fermi-level density of states 18.71 states/eV/cell, final energy -21.69 eV per cell. Number 6: formation enthalpy at 0 K 0.126 eV per atom, Fermi-level density of states 63.75 states/eV/cell, final energy -311.42 eV per cell. Number 7: formation enthalpy at 0 K -0.024 eV per atom, Fermi-level density of states 3.31 states/eV/cell, final energy -24.08 eV per cell. Number 8: formation enthalpy at 0 K 0.104 eV per atom, Fermi-level density of states 15.26 states/eV/cell, final energy -134.32 eV per cell. Number 9: formation enthalpy at 0 K -0.035 eV per atom, Fermi-level density of states 8.35 states/eV/cell, final energy -62.49 eV per cell. Number 10: formation enthalpy at 0 K -0.104 eV per atom, Fermi-level density of states 10.78 states/eV/cell, final energy -97.71 eV per cell. Number 11: formation enthalpy at 0 K 0.030 eV per atom, Fermi-level density of states 9.54 states/eV/cell, final energy -44.84 eV per cell. Number 12: formation enthalpy at 0 K 0.908 eV per atom, Fermi-level density of states 6.27 states/eV/cell, final energy -27.90 eV per cell.